The following is a GGA-PBE calculation of Te2OsCN after structural relaxation, from the Alexandria database.

Structure (CIF):
```
data_Te2OsCN
_chemical_formula_sum 'Te2 Os1 C1 N1'
_cell_length_a 5.031
_cell_length_b 5.031
_cell_length_c 3.007
_cell_angle_alpha 90.00
_cell_angle_beta 90.00
_cell_angle_gamma 90.00
_symmetry_space_group_name_H-M 'P 4/m m m'
_symmetry_Int_Tables_number 123
_symmetry_space_group_name_Hall '-P 4 2'
loop_
_atom_site_label
_atom_site_type_symbol
_atom_site_fract_x
_atom_site_fract_y
_atom_site_fract_z
Te1 Te 0.000 0.500 0.000
Os1 Os 0.000 0.000 0.500
C1 C 0.500 0.500 0.000
N1 N 0.500 0.500 0.500
```

Values from the calculation:
Raw formation energy in eV/atom: 1.6199
Crystal system: tetragonal
Energy relative to the lowest polymorph listed for this composition in meV per atom: 35
DOS at the Fermi energy in states/eV/cell: 4.8

***

The following is a GGA-PBE calculation of La2AgHgO5 after structural relaxation, from the Alexandria database.

Structure (CIF):
```
data_La2AgHgO5
_chemical_formula_sum 'La4 Ag2 Hg2 O10'
_cell_length_a 7.093
_cell_length_b 7.093
_cell_length_c 5.846
_cell_angle_alpha 90.00
_cell_angle_beta 90.00
_cell_angle_gamma 90.00
_symmetry_space_group_name_H-M 'P 4/m b m'
_symmetry_Int_Tables_number 127
_symmetry_space_group_name_Hall '-P 4 2ab'
loop_
_atom_site_label
_atom_site_type_symbol
_atom_site_fract_x
_atom_site_fract_y
_atom_site_fract_z
La1 La 0.179 0.321 0.000
Ag1 Ag 0.000 0.500 0.500
Hg1 Hg 0.000 0.000 0.500
O1 O 0.000 0.000 0.000
O2 O 0.131 0.631 0.239
```

Values from the calculation:
Raw formation energy in eV/atom: -1.8155
Crystal system: tetragonal
DOS at the Fermi energy in states/eV/cell: 6.9

***

The following is a GGA-PBE calculation of LiSnAs2I after structural relaxation, from the Alexandria database.

Structure (CIF):
```
data_LiSnAs2I
_chemical_formula_sum 'Li1 Sn1 As2 I1'
_cell_length_a 4.733
_cell_length_b 4.733
_cell_length_c 5.552
_cell_angle_alpha 90.00
_cell_angle_beta 90.00
_cell_angle_gamma 90.00
_symmetry_space_group_name_H-M 'P 4/m m m'
_symmetry_Int_Tables_number 123
_symmetry_space_group_name_Hall '-P 4 2'
loop_
_atom_site_label
_atom_site_type_symbol
_atom_site_fract_x
_atom_site_fract_y
_atom_site_fract_z
Li1 Li 0.000 0.000 0.000
Sn1 Sn 0.500 0.500 0.500
As1 As 0.000 0.500 0.000
I1 I 0.000 0.000 0.500
```

Values from the calculation:
Raw formation energy in eV/atom: 0.3305
Crystal system: tetragonal
DOS at the Fermi energy in states/eV/cell: 3.6

***

The following is a GGA-PBE calculation of Li3Ag2Ge2Au4 after structural relaxation, from the Alexandria database.

Structure (CIF):
```
data_Li3Ag2Ge2Au4
_chemical_formula_sum 'Li3 Ag2 Ge2 Au4'
_cell_length_a 4.4584
_cell_length_b 4.4584
_cell_length_c 11.8336
_cell_angle_alpha 90.00
_cell_angle_beta 90.00
_cell_angle_gamma 120.00
_symmetry_space_group_name_H-M 'P -3 m 1'
_symmetry_Int_Tables_number 164
_symmetry_space_group_name_Hall '-P 3 2"'
loop_
_atom_site_label
_atom_site_type_symbol
_atom_site_fract_x
_atom_site_fract_y
_atom_site_fract_z
Li1 Li 0.0000 0.0000 0.0000
Li2 Li 0.0000 0.0000 0.2611
Ag1 Ag 0.3333 0.6667 0.5702
Ge1 Ge 0.3333 0.6667 0.1198
Au1 Au 0.3333 0.6667 0.3363
Au2 Au 0.3333 0.6667 0.8674
```

Values from the calculation:
Crystal system: trigonal
DOS at the Fermi energy in states/eV/cell: 4.4

***

The following is a GGA-PBE calculation of TiNiSCl2 after structural relaxation, from the Alexandria database.

Structure (CIF):
```
data_TiNiSCl2
_chemical_formula_sum 'Ti1 Ni1 S1 Cl2'
_cell_length_a 4.443
_cell_length_b 4.443
_cell_length_c 4.733
_cell_angle_alpha 90.00
_cell_angle_beta 90.00
_cell_angle_gamma 90.00
_symmetry_space_group_name_H-M 'P 4/m m m'
_symmetry_Int_Tables_number 123
_symmetry_space_group_name_Hall '-P 4 2'
loop_
_atom_site_label
_atom_site_type_symbol
_atom_site_fract_x
_atom_site_fract_y
_atom_site_fract_z
Ti1 Ti 0.000 0.000 0.000
Ni1 Ni 0.500 0.500 0.500
S1 S 0.500 0.500 0.000
Cl1 Cl 0.000 0.500 0.500
```

Values from the calculation:
Raw formation energy in eV/atom: -0.0296
Crystal system: tetragonal
Energy relative to the lowest polymorph listed for this composition in meV per atom: 225
DOS at the Fermi energy in states/eV/cell: 9.5

***

The following is a GGA-PBE calculation of K2SrPb2 after structural relaxation, from the Alexandria database.

Structure (CIF):
```
data_K2SrPb2
_chemical_formula_sum 'K4 Sr2 Pb4'
_cell_length_a 5.020
_cell_length_b 5.020
_cell_length_c 16.245
_cell_angle_alpha 90.00
_cell_angle_beta 90.00
_cell_angle_gamma 90.00
_symmetry_space_group_name_H-M 'I 4/m m m'
_symmetry_Int_Tables_number 139
_symmetry_space_group_name_Hall '-I 4 2'
loop_
_atom_site_label
_atom_site_type_symbol
_atom_site_fract_x
_atom_site_fract_y
_atom_site_fract_z
K1 K 0.000 0.500 0.250
Sr1 Sr 0.000 0.000 0.000
Pb1 Pb 0.000 0.000 0.410
```

Values from the calculation:
Crystal system: tetragonal
Energy relative to the lowest polymorph listed for this composition in meV per atom: 0
DOS at the Fermi energy in states/eV/cell: 7.4

***

The following is a GGA-PBE calculation of Na3TlPb after structural relaxation, from the Alexandria database.

Structure (CIF):
```
data_Na3TlPb
_chemical_formula_sum 'Na6 Tl2 Pb2'
_cell_length_a 7.352
_cell_length_b 4.916
_cell_length_c 8.008
_cell_angle_alpha 90.00
_cell_angle_beta 92.41
_cell_angle_gamma 90.00
_symmetry_space_group_name_H-M 'P 1 21/m 1'
_symmetry_Int_Tables_number 11
loop_
_symmetry_equiv_pos_as_xyz
'x,y,z'
'-x,-y,-z'
'-x,y+1/2,-z'
'x,-y+1/2,z'
loop_
_atom_site_label
_atom_site_type_symbol
_atom_site_fract_x
_atom_site_fract_y
_atom_site_fract_z
Na1 Na 0.051 0.250 0.336
Na2 Na 0.253 0.250 0.751
Na3 Na 0.445 0.250 0.162
Tl1 Tl 0.156 0.750 0.040
Pb1 Pb 0.350 0.750 0.459
```

Values from the calculation:
Crystal system: monoclinic
Energy relative to the lowest polymorph listed for this composition in meV per atom: 0
DOS at the Fermi energy in states/eV/cell: 2.7

***

The following is a GGA-PBE calculation of TaCr2Cl after structural relaxation, from the Alexandria database.

Structure (CIF):
```
data_TaCr2Cl
_chemical_formula_sum 'Ta4 Cr8 Cl4'
_cell_length_a 6.265
_cell_length_b 6.265
_cell_length_c 6.265
_cell_angle_alpha 90.00
_cell_angle_beta 90.00
_cell_angle_gamma 90.00
_symmetry_space_group_name_H-M 'F -4 3 m'
_symmetry_Int_Tables_number 216
_symmetry_space_group_name_Hall 'F -4 2 3'
loop_
_atom_site_label
_atom_site_type_symbol
_atom_site_fract_x
_atom_site_fract_y
_atom_site_fract_z
Ta1 Ta 0.000 0.000 0.000
Cr1 Cr 0.000 0.000 0.500
Cr2 Cr 0.250 0.250 0.250
Cl1 Cl 0.250 0.250 0.750
```

Values from the calculation:
Raw formation energy in eV/atom: 0.8980
Crystal system: cubic
Energy relative to the lowest polymorph listed for this composition in meV per atom: 809
DOS at the Fermi energy in states/eV/cell: 21.7

***

The following is a GGA-PBE calculation of NaPm2P after structural relaxation, from the Alexandria database.

Structure (CIF):
```
data_NaPm2P
_chemical_formula_sum 'Na4 Pm8 P4'
_cell_length_a 7.268
_cell_length_b 7.268
_cell_length_c 7.268
_cell_angle_alpha 90.00
_cell_angle_beta 90.00
_cell_angle_gamma 90.00
_symmetry_space_group_name_H-M 'F m -3 m'
_symmetry_Int_Tables_number 225
_symmetry_space_group_name_Hall '-F 4 2 3'
loop_
_atom_site_label
_atom_site_type_symbol
_atom_site_fract_x
_atom_site_fract_y
_atom_site_fract_z
Na1 Na 0.000 0.000 0.000
Pm1 Pm 0.250 0.250 0.250
P1 P 0.000 0.000 0.500
```

Values from the calculation:
Crystal system: cubic
Energy relative to the lowest polymorph listed for this composition in meV per atom: 310
DOS at the Fermi energy in states/eV/cell: 15.9

***

The following is a GGA-PBE calculation of Ac5Tl2Pd4 after structural relaxation, from the Alexandria database.

Structure (CIF):
```
data_Ac5Tl2Pd4
_chemical_formula_sum 'Ac10 Tl4 Pd8'
_cell_length_a 21.265
_cell_length_b 4.383
_cell_length_c 8.018
_cell_angle_alpha 90.00
_cell_angle_beta 94.83
_cell_angle_gamma 90.00
_symmetry_space_group_name_H-M 'C 1 2/m 1'
_symmetry_Int_Tables_number 12
loop_
_symmetry_equiv_pos_as_xyz
'x,y,z'
'-x,-y,-z'
'-x,y,-z'
'x,-y,z'
'x+1/2,y+1/2,z'
'-x+1/2,-y+1/2,-z'
'-x+1/2,y+1/2,-z'
'x+1/2,-y+1/2,z'
loop_
_atom_site_label
_atom_site_type_symbol
_atom_site_fract_x
_atom_site_fract_y
_atom_site_fract_z
Ac1 Ac 0.000 0.000 0.000
Ac2 Ac 0.102 0.500 0.430
Ac3 Ac 0.166 0.500 0.922
Tl1 Tl 0.240 0.000 0.651
Pd1 Pd 0.027 0.500 0.752
Pd2 Pd 0.106 0.000 0.699
```

Values from the calculation:
Crystal system: monoclinic
DOS at the Fermi energy in states/eV/cell: 16.3

***

What magnetic moment values result from the calculations? In sequence: 0.00; 0.00; 0.00; 0.00; 0.04; 0.00; 0.00; 1.21; 0.00; 0.00 μB/f.u..
What calculated total energy values result from the calculations? In sequence: -5.393; -6.015; -3.023; -3.302; -4.329; -2.431; -2.133; -7.338; -4.339; -4.663 eV/atom.